The following is a PBE calculation of an optimized crystal structure of P5Rh4, from Alexandria.

Cell lengths 7.5177, 7.5177, 5.1433 Å; angles 90.00, 90.00, 120.00 degrees
Fractional positions:
Rh 0.3809 0.3809 0.7500
Rh 0.0000 0.0000 0.0000
Rh 0.0000 0.0000 0.5000
Rh 0.0000 0.6191 0.7500
Rh 0.6191 0.6191 0.2500
Rh 0.6191 0.0000 0.7500
Rh 0.3809 0.0000 0.2500
Rh 0.0000 0.3809 0.2500
P 0.2875 0.0000 0.7500
P 0.6667 0.3333 0.5000
P 0.7125 0.7125 0.7500
P 0.3333 0.6667 0.0000
P 0.2875 0.2875 0.2500
P 0.3333 0.6667 0.5000
P 0.6667 0.3333 0.0000
P 0.7125 0.0000 0.2500
P 0.0000 0.7125 0.2500
P 0.0000 0.2875 0.7500

Calculated values
DOS(E_F), states/eV per cell: 11.0
Formation energy from the elements, eV per atom: -0.03